(1)
## Ho2MgAl2Ir5 (PBE)

Data for crystalline Ho2MgAl2Ir5 at its relaxed geometry.

Structure (extended XYZ):
```
20
Lattice="9.902 0.000 0.000 0.000 9.902 0.000 0.000 0.000 3.473" Properties=species:S:1:pos:R:3 pbc="T T T"
Ho 1.732 3.219 0.000
Ho 3.219 8.170 0.000
Ho 6.683 1.732 0.000
Ho 8.170 6.683 0.000
Mg 0.000 0.000 0.000
Mg 4.951 4.951 0.000
Al 1.232 6.183 0.000
Al 3.719 1.232 0.000
Al 6.183 8.670 0.000
Al 8.670 3.719 0.000
Ir 0.000 4.951 1.737
Ir 0.650 7.849 1.737
Ir 2.053 0.650 1.737
Ir 2.898 5.601 1.737
Ir 4.301 2.898 1.737
Ir 4.951 0.000 1.737
Ir 5.601 7.004 1.737
Ir 7.004 4.301 1.737
Ir 7.849 9.252 1.737
Ir 9.252 2.053 1.737
```

Energy of formation from the pure elements ... -0.71 eV per atom

***

(2)
## HoAlNiIr (PBE)

Data for crystalline HoAlNiIr at its relaxed geometry.

Structure (extended XYZ):
```
4
Lattice="0.000 3.198 3.198 3.198 0.000 3.198 3.198 3.198 0.000" Properties=species:S:1:pos:R:3 pbc="T T T"
Ho 0.000 0.000 0.000
Al 3.198 3.198 3.198
Ni 4.797 4.797 4.797
Ir 1.599 1.599 1.599
```

Energy of formation from the pure elements ... -0.63 eV per atom

***

(3)
## PmHoAlIr (PBE)

Data for crystalline PmHoAlIr at its relaxed geometry.

Structure (extended XYZ):
```
4
Lattice="0.000 3.557 3.557 3.557 0.000 3.557 3.557 3.557 0.000" Properties=species:S:1:pos:R:3 pbc="T T T"
Pm 0.000 0.000 0.000
Ho 3.557 3.557 3.557
Al 1.778 1.778 1.778
Ir 5.335 5.335 5.335
```

Energy of formation from the pure elements ... -0.49 eV per atom

***

(4)
## Ho2Al4IrPt3 (PBE)

Data for crystalline Ho2Al4IrPt3 at its relaxed geometry.

Structure (extended XYZ):
```
10
Lattice="4.178 0.000 0.000 0.000 4.178 0.000 0.000 0.000 10.468" Properties=species:S:1:pos:R:3 pbc="T T T"
Ho 0.000 2.089 2.532
Ho 2.089 0.000 7.936
Al 0.000 0.000 5.234
Al 0.000 2.089 9.127
Al 2.089 0.000 1.341
Al 2.089 2.089 5.234
Ir 2.089 2.089 0.000
Pt 0.000 0.000 0.000
Pt 0.000 2.089 6.669
Pt 2.089 0.000 3.799
```

Energy of formation from the pure elements ... -1.08 eV per atom

***

(5)
## HoAlSi2Ir5 (PBE)

Data for crystalline HoAlSi2Ir5 at its relaxed geometry.

Structure (extended XYZ):
```
9
Lattice="4.023 0.000 0.000 0.000 4.023 0.000 0.000 0.000 10.109" Properties=species:S:1:pos:R:3 pbc="T T T"
Ho 0.000 0.000 0.000
Al 0.000 0.000 5.055
Si 2.011 2.011 2.317
Si 2.011 2.011 7.792
Ir 0.000 2.011 3.540
Ir 0.000 2.011 6.569
Ir 2.011 0.000 3.540
Ir 2.011 0.000 6.569
Ir 2.011 2.011 0.000
```

ΔE_f (raw) ... -462 meV per atom

***

(6)
## Ho2AlSi2Ir5 (PBE)

Data for crystalline Ho2AlSi2Ir5 at its relaxed geometry.

Structure (extended XYZ):
```
20
Lattice="9.640 0.000 0.000 0.000 9.640 0.000 0.000 0.000 3.503" Properties=species:S:1:pos:R:3 pbc="T T T"
Ho 1.684 3.136 0.000
Ho 3.136 7.957 0.000
Ho 6.504 1.684 0.000
Ho 7.957 6.504 0.000
Al 0.000 0.000 0.000
Al 4.820 4.820 0.000
Si 1.204 6.024 0.000
Si 3.616 1.204 0.000
Si 6.024 8.436 0.000
Si 8.436 3.616 0.000
Ir 0.000 4.820 1.751
Ir 0.644 7.623 1.751
Ir 2.017 0.644 1.751
Ir 2.803 5.465 1.751
Ir 4.176 2.803 1.751
Ir 4.820 0.000 1.751
Ir 5.465 6.837 1.751
Ir 6.837 4.176 1.751
Ir 7.623 8.996 1.751
Ir 8.996 2.017 1.751
```

ΔE_f (raw) ... -907 meV per atom

***

(7)
## Ho2TaAl2Ir5 (PBE)

Data for crystalline Ho2TaAl2Ir5 at its relaxed geometry.

Structure (extended XYZ):
```
20
Lattice="9.759 0.000 0.000 0.000 9.759 0.000 0.000 0.000 3.581" Properties=species:S:1:pos:R:3 pbc="T T T"
Ho 1.699 3.181 0.000
Ho 3.181 8.060 0.000
Ho 6.579 1.699 0.000
Ho 8.060 6.579 0.000
Ta 0.000 0.000 0.000
Ta 4.880 4.880 0.000
Al 1.206 6.086 0.000
Al 3.673 1.206 0.000
Al 6.086 8.553 0.000
Al 8.553 3.673 0.000
Ir 0.000 4.880 1.790
Ir 0.649 7.765 1.790
Ir 1.994 0.649 1.790
Ir 2.886 5.529 1.790
Ir 4.231 2.886 1.790
Ir 4.880 0.000 1.790
Ir 5.529 6.874 1.790
Ir 6.874 4.231 1.790
Ir 7.765 9.110 1.790
Ir 9.110 1.994 1.790
```

Energy of formation from the pure elements ... -0.82 eV per atom

***

(8)
## Ho2TiAl2Ir5 (PBE)

Data for crystalline Ho2TiAl2Ir5 at its relaxed geometry.

Structure (extended XYZ):
```
20
Lattice="9.848 0.000 0.000 0.000 9.848 0.000 0.000 0.000 3.474" Properties=species:S:1:pos:R:3 pbc="T T T"
Ho 1.709 3.214 0.000
Ho 3.214 8.138 0.000
Ho 6.633 1.709 0.000
Ho 8.138 6.633 0.000
Ti 0.000 0.000 0.000
Ti 4.924 4.924 0.000
Al 1.232 6.156 0.000
Al 3.692 1.232 0.000
Al 6.156 8.615 0.000
Al 8.615 3.692 0.000
Ir 0.000 4.924 1.737
Ir 0.646 7.852 1.737
Ir 1.995 0.646 1.737
Ir 2.929 5.570 1.737
Ir 4.277 2.929 1.737
Ir 4.924 0.000 1.737
Ir 5.570 6.919 1.737
Ir 6.919 4.277 1.737
Ir 7.852 9.201 1.737
Ir 9.201 1.995 1.737
```

Energy of formation from the pure elements ... -0.84 eV per atom

***

(9)
## Ho2AlZnIr2 (PBE)

Data for crystalline Ho2AlZnIr2 at its relaxed geometry.

Structure (extended XYZ):
```
12
Lattice="-2.849 7.119 2.860 2.849 -7.119 2.860 2.849 7.119 -2.860" Properties=species:S:1:pos:R:3 pbc="T T T"
Ho 1.335 2.464 0.000
Ho 1.335 -2.464 2.860
Ho 1.514 9.582 0.000
Ho 1.514 4.655 2.860
Al 2.849 0.000 1.430
Al 0.000 7.119 1.430
Zn 0.000 0.000 1.430
Zn 0.000 0.000 4.290
Ir 4.161 1.668 0.000
Ir 1.312 5.451 0.000
Ir 1.537 1.668 2.860
Ir -1.312 5.451 2.860
```

Energy of formation from the pure elements ... -0.79 eV per atom

***

(10)
## Ho2Al4ZnIr3 (PBE)

Data for crystalline Ho2Al4ZnIr3 at its relaxed geometry.

Structure (extended XYZ):
```
10
Lattice="4.044 0.000 0.000 0.000 4.044 0.000 0.000 0.000 11.068" Properties=species:S:1:pos:R:3 pbc="T T T"
Ho 0.000 2.022 2.676
Ho 2.022 0.000 8.392
Al 0.000 0.000 0.000
Al 0.000 2.022 7.030
Al 2.022 0.000 4.038
Al 2.022 2.022 0.000
Zn 0.000 0.000 5.534
Ir 0.000 2.022 9.532
Ir 2.022 0.000 1.536
Ir 2.022 2.022 5.534
```

Energy of formation from the pure elements ... -0.75 eV per atom

***

Number 1: total DFT energy (no corrections) -6.97 eV per atom. Number 2: total DFT energy (no corrections) -6.37 eV per atom. Number 3: total DFT energy (no corrections) -5.97 eV per atom. Number 4: total DFT energy (no corrections) -6.19 eV per atom. Number 5: total DFT energy (no corrections) -7.51 eV per atom. Number 6: total DFT energy (no corrections) -7.71 eV per atom. Number 7: total DFT energy (no corrections) -8.10 eV per atom. Number 8: total DFT energy (no corrections) -7.73 eV per atom. Number 9: total DFT energy (no corrections) -6.11 eV per atom. Number 10: total DFT energy (no corrections) -5.95 eV per atom.